First-principles (PBE+U) data for an optimized crystal structure of KVH4O7, as listed in Alexandria via LeMat-Bulk.

```
data_KVH4O7
_chemical_formula_sum 'K2 V2 H8 O14'
_cell_length_a 6.591
_cell_length_b 7.546
_cell_length_c 7.916
_cell_angle_alpha 67.83
_cell_angle_beta 65.79
_cell_angle_gamma 82.09
_symmetry_space_group_name_H-M 'P 1'
_symmetry_Int_Tables_number 1
loop_
_symmetry_equiv_pos_as_xyz
'x,y,z'
loop_
_atom_site_label
_atom_site_fract_x
_atom_site_fract_y
_atom_site_fract_z
K1 0.000 0.000 0.000
K2 0.187 0.451 0.429
V1 0.523 0.250 0.877
V2 0.678 0.039 0.572
H1 0.098 0.527 0.069
H2 0.135 0.844 0.539
H3 0.353 0.889 0.335
H4 0.437 0.782 0.580
H5 0.578 0.716 0.036
H6 0.624 0.659 0.669
H7 0.649 0.510 0.034
H8 0.849 0.585 0.156
O1 0.000 0.603 0.149
O2 0.281 0.793 0.470
O3 0.289 0.355 0.965
O4 0.378 0.126 0.628
O5 0.446 0.986 0.958
O6 0.519 0.271 0.611
O7 0.533 0.020 0.087
O8 0.539 0.783 0.649
O9 0.595 0.587 0.122
O10 0.743 0.454 0.699
O11 0.751 0.363 0.896
O12 0.803 0.094 0.332
O13 0.880 0.896 0.690
O14 0.882 0.100 0.656
```

Results
Energy relative to the lowest polymorph listed for this composition (meV/atom): 0.0
DOS at the Fermi energy (states/eV/atom): 0.000